Entry 1:
{"formula": "Hg2OsCl", "functional": "PBEsol", "state": "relaxed", "lattice_angstrom": [[3.0893, 0.0000, 0.0000], [1.5447, 5.4485, 0.5394], [1.5447, 2.2133, 5.0078]], "species": ["Hg", "Os", "Cl", "Hg"], "fractional_positions": [[0.7592, 0.2408, 0.2408], [0.5000, 0.0000, 0.0000], [0.0000, 0.5000, 0.5000], [0.2408, 0.7592, 0.7592]], "spacegroup": "Immm", "raw_formation_energy_ev_per_atom": 0.98}

***

Entry 2:
{"formula": "TaMnCo2", "functional": "PBEsol", "state": "relaxed", "lattice_angstrom": [[2.9515, 0.0000, 0.0000], [0.0000, 2.9515, 0.0000], [0.0000, 0.0000, 5.8301]], "species": ["Co", "Mn", "Co", "Ta"], "fractional_positions": [[0.0000, 0.0000, 0.7638], [0.5000, 0.5000, 0.0000], [0.0000, 0.0000, 0.2362], [0.5000, 0.5000, 0.5000]], "spacegroup": "P4/mmm", "delta_e_f_ev_per_fu": -0.20, "e_above_lowest_polymorph_ev_per_atom": 0.095}

***

Entry 3:
{"formula": "Ta2InW", "functional": "PBEsol", "state": "relaxed", "lattice_angstrom": [[3.3936, 0.0000, 0.0000], [0.0000, 4.5687, 0.0000], [-1.6968, -2.2844, 4.5681]], "species": ["Ta", "W", "In", "Ta"], "fractional_positions": [[0.7584, 0.2584, 0.5168], [0.4866, 0.4866, 0.9731], [0.2448, 0.7448, 0.4895], [0.0103, 0.0103, 0.0206]], "spacegroup": "Imm2", "delta_e_f_ev_per_fu": 0.62}

***

Entry 4:
{"formula": "TaCd2P", "functional": "PBEsol", "state": "relaxed", "lattice_angstrom": [[3.3278, 0.0000, 0.0000], [-1.6639, 4.5317, -0.0109], [0.0000, -1.8388, 4.8265]], "species": ["P", "Ta", "Cd", "Cd"], "fractional_positions": [[0.5075, 0.0149, 0.6161], [0.2182, 0.4365, 0.6474], [0.7726, 0.5452, 0.2228], [0.0017, 0.0034, 0.0137]], "spacegroup": "Cm", "delta_e_f_ev_per_fu": 0.07}

***

Entry 5:
{"formula": "MnCd2Rh", "functional": "PBEsol", "state": "relaxed", "lattice_angstrom": [[-0.4920, 1.0193, -3.7319], [1.5662, -3.6060, -1.1914], [-4.2397, -0.3296, 2.5065]], "species": ["Mn", "Cd", "Cd", "Rh"], "fractional_positions": [[0.5064, 0.5064, 0.0128], [0.7526, 0.2526, 0.5053], [0.9975, 0.9975, 0.9951], [0.2434, 0.7434, 0.4868]], "spacegroup": "Imm2", "delta_e_f_ev_per_fu": 0.32, "e_above_lowest_polymorph_ev_per_atom": 0.037}

***

Entry 6:
{"formula": "NiRu2Rh", "functional": "PBEsol", "state": "relaxed", "lattice_angstrom": [[-2.0598, -1.2255, -1.0871], [-1.0477, -2.1084, 1.1762], [-6.3276, 3.9368, 4.3652]], "species": ["Ru", "Ru", "Rh", "Ni"], "fractional_positions": [[0.2475, 0.2475, 0.2574], [0.7525, 0.7525, 0.7426], [0.0000, 0.0000, 0.0000], [0.5000, 0.5000, 0.5000]], "spacegroup": "R-3m", "delta_e_f_ev_per_fu": 0.50, "e_above_lowest_polymorph_ev_per_atom": 0.054}

***

Entry 7:
{"formula": "BeTcSb2", "functional": "PBEsol", "state": "relaxed", "lattice_angstrom": [[-1.2596, -1.1942, 3.1677], [3.7844, -3.0481, 0.3556], [0.7852, 4.8798, 0.0926]], "species": ["Sb", "Be", "Tc", "Sb"], "fractional_positions": [[0.7793, 0.7793, 0.5587], [0.5000, 0.0000, 0.0000], [0.0000, 0.5000, 0.0000], [0.2207, 0.2207, 0.4413]], "spacegroup": "Immm", "raw_formation_energy_ev_per_atom": 0.46}

***

Entry 8:
{"formula": "LiCaCoF6", "functional": "PBEsol", "state": "relaxed", "lattice_angstrom": [[4.9966, 0.0000, 0.0000], [-2.4983, 4.3272, 0.0000], [0.0000, 0.0000, 9.6807]], "species": ["F", "F", "F", "F", "Li", "F", "Ca", "F", "F", "Ca", "Li", "F", "Co", "F", "F", "F", "Co", "F"], "fractional_positions": [[0.6524, 0.0243, 0.1417], [0.3476, 0.9757, 0.8583], [0.6524, 0.6281, 0.3583], [0.6281, 0.6524, 0.8583], [0.3333, 0.6667, 0.2500], [0.6281, 0.9757, 0.6417], [0.0000, 0.0000, 0.5000], [0.3719, 0.0243, 0.3583], [0.0243, 0.6524, 0.6417], [0.0000, 0.0000, 0.0000], [0.6667, 0.3333, 0.7500], [0.0243, 0.3719, 0.8583], [0.6667, 0.3333, 0.2500], [0.9757, 0.6281, 0.1417], [0.9757, 0.3476, 0.3583], [0.3719, 0.3476, 0.1417], [0.3333, 0.6667, 0.7500], [0.3476, 0.3719, 0.6417]], "spacegroup": "P-31c", "raw_formation_energy_ev_per_atom": -2.79}

***

Entry 9:
{"formula": "SrCaCo2", "functional": "PBEsol", "state": "relaxed", "lattice_angstrom": [[-1.7207, -0.6325, -2.9482], [3.9167, -2.3389, -1.7842], [-1.6650, -4.2081, 1.8745]], "species": ["Co", "Co", "Sr", "Ca"], "fractional_positions": [[0.0000, 0.5000, 0.0000], [0.0000, 0.0000, 0.5000], [0.5000, 0.5000, 0.5000], [0.5000, 0.0000, 0.0000]], "spacegroup": "P4/mmm", "delta_e_f_ev_per_fu": 2.79, "e_above_lowest_polymorph_ev_per_atom": 0.001}

***

Entry 10:
{"formula": "MnBe2Au", "functional": "PBEsol", "state": "relaxed", "lattice_angstrom": [[-2.2260, 1.4055, 0.3875], [-2.1502, -0.4744, -1.4942], [-3.8433, -4.8656, 4.7063]], "species": ["Be", "Mn", "Be", "Au"], "fractional_positions": [[0.7562, 0.7562, 0.7314], [0.5000, 0.5000, 0.5000], [0.2438, 0.2438, 0.2686], [0.0000, 0.0000, 0.0000]], "spacegroup": "R-3m", "delta_e_f_ev_per_fu": 0.90}

***

Entry 11:
{"formula": "Cs2KYBr6", "functional": "PBEsol", "state": "relaxed", "lattice_angstrom": [[-0.7888, 1.9940, 7.9452], [4.6039, -3.7913, 5.6706], [6.0181, 4.1040, 3.8295]], "species": ["Br", "Br", "Cs", "Br", "Y", "Cs", "Br", "K", "Br", "Br"], "fractional_positions": [[0.2363, 0.7637, 0.2363], [0.2363, 0.2363, 0.7637], [0.2500, 0.2500, 0.2500], [0.7637, 0.7637, 0.2363], [0.0000, 0.0000, 0.0000], [0.7500, 0.7500, 0.7500], [0.7637, 0.2363, 0.2363], [0.5000, 0.5000, 0.5000], [0.7637, 0.2363, 0.7637], [0.2363, 0.7637, 0.7637]], "spacegroup": "Fm-3m", "raw_formation_energy_ev_per_atom": -1.84}

***

Entry 12:
{"formula": "Li3ZrAu", "functional": "PBEsol", "state": "relaxed", "lattice_angstrom": [[4.5633, 0.0000, 0.0000], [0.0000, 4.5633, 0.0000], [0.0000, 0.0000, 4.5633]], "species": ["Au", "Li", "Zr", "Li", "Li"], "fractional_positions": [[0.0000, 0.0000, 0.0000], [0.0000, 0.0000, 0.5000], [0.5000, 0.5000, 0.5000], [0.0000, 0.5000, 0.0000], [0.5000, 0.0000, 0.0000]], "spacegroup": "Pm-3m", "delta_e_f_ev_per_fu": 1.98}

***

Entry 13:
{"formula": "BePtPb4", "functional": "PBEsol", "state": "relaxed", "lattice_angstrom": [[6.1251, 0.0000, 0.0000], [3.0625, 5.3045, 0.0000], [3.0625, 1.7682, 5.0011]], "species": ["Pb", "Pb", "Pb", "Be", "Pt", "Pb"], "fractional_positions": [[0.8742, 0.3753, 0.3753], [0.3753, 0.3753, 0.8742], [0.3753, 0.8742, 0.3753], [0.0000, 0.0000, 0.0000], [0.7500, 0.7500, 0.7500], [0.3753, 0.3753, 0.3753]], "spacegroup": "F-43m", "delta_e_f_ev_per_fu": 5.74}

***

Entry 14:
{"formula": "CrBrNO2", "functional": "PBEsol", "state": "relaxed", "lattice_angstrom": [[-2.8797, -1.8604, -0.8432], [1.7960, -3.0004, 0.4863], [-1.2086, -0.0401, 4.2161]], "species": ["O", "O", "Br", "Cr", "N"], "fractional_positions": [[0.0000, 0.5000, 0.0000], [0.5000, 0.0000, 0.0000], [0.5000, 0.5000, 0.5000], [0.0000, 0.0000, 0.0000], [0.0000, 0.0000, 0.5000]], "spacegroup": "P4/mmm", "raw_formation_energy_ev_per_atom": -0.16}

***

Entry 15:
{"formula": "Sc3As2", "functional": "PBEsol", "state": "relaxed", "lattice_angstrom": [[3.8021, 0.0000, 0.0000], [0.0000, 10.2525, 0.0000], [0.0000, 0.0000, 10.2525]], "species": ["As", "Sc", "Sc", "Sc", "Sc", "As", "As", "As", "Sc", "Sc", "Sc", "Sc", "Sc", "As", "As", "Sc", "Sc", "Sc", "As", "As"], "fractional_positions": [[0.0000, 0.2779, 0.9557], [0.0000, 0.0000, 0.0000], [0.5000, 0.1396, 0.8106], [0.0000, 0.2801, 0.3952], [0.0000, 0.7199, 0.6048], [0.0000, 0.7220, 0.0443], [0.5000, 0.4179, 0.2535], [0.0000, 0.9557, 0.7220], [0.5000, 0.0000, 0.5000], [0.0000, 0.3952, 0.7199], [0.0000, 0.6048, 0.2801], [0.5000, 0.8106, 0.8604], [0.5000, 0.1894, 0.1396], [0.5000, 0.5821, 0.7465], [0.0000, 0.0443, 0.2779], [0.5000, 0.8604, 0.1894], [0.5000, 0.5000, 0.5000], [0.5000, 0.5000, 0.0000], [0.5000, 0.2535, 0.5821], [0.5000, 0.7465, 0.4179]], "spacegroup": "P4/m", "delta_e_f_ev_per_fu": -5.83, "e_above_lowest_polymorph_ev_per_atom": 0.033}

***

Entry 16:
{"formula": "BeZnPb2", "functional": "PBEsol", "state": "relaxed", "lattice_angstrom": [[-3.5408, -0.0001, 1.9715], [0.6870, -3.8277, 1.2337], [1.9553, 3.6235, 3.5120]], "species": ["Be", "Zn", "Pb", "Pb"], "fractional_positions": [[0.5000, 0.4372, 0.7507], [0.0000, 0.3156, 0.5043], [0.5000, 0.7239, 0.3259], [0.0000, 0.0234, 0.9191]], "spacegroup": "Pm", "delta_e_f_ev_per_fu": 1.26, "e_above_lowest_polymorph_ev_per_atom": 0.000}

***

Entry 17:
{"formula": "Ba2CaAg2", "functional": "PBEsol", "state": "relaxed", "lattice_angstrom": [[4.7553, 0.0000, 0.0000], [0.0000, 8.5064, 0.0000], [0.0000, 0.0000, 8.5064]], "species": ["Ba", "Ba", "Ca", "Ag", "Ag", "Ba", "Ca", "Ba", "Ag", "Ag"], "fractional_positions": [[0.5000, 0.6705, 0.8295], [0.5000, 0.8295, 0.3295], [0.0000, 0.0000, 0.0000], [0.0000, 0.3782, 0.8782], [0.0000, 0.8782, 0.6218], [0.5000, 0.3295, 0.1705], [0.0000, 0.5000, 0.5000], [0.5000, 0.1705, 0.6705], [0.0000, 0.6218, 0.1218], [0.0000, 0.1218, 0.3782]], "spacegroup": "P4/mbm", "delta_e_f_ev_per_fu": -1.00}

***

Entry 18:
{"formula": "Al2SbIr", "functional": "PBEsol", "state": "relaxed", "lattice_angstrom": [[-2.7958, -1.0028, 0.0723], [0.4002, -1.3059, -2.6386], [2.4377, -6.5365, 3.6048]], "species": ["Sb", "Al", "Al", "Ir"], "fractional_positions": [[0.5000, 0.5000, 0.5000], [0.0000, 0.0000, 0.1956], [0.0000, 0.0000, 0.8044], [0.5000, 0.5000, 0.0000]], "spacegroup": "P4/mmm", "raw_formation_energy_ev_per_atom": -0.31}

***

Entry 19:
{"formula": "ScBi2AsC", "functional": "PBEsol", "state": "relaxed", "lattice_angstrom": [[4.3869, 0.0000, 0.0000], [0.0000, 5.0105, 0.0000], [0.0000, 0.0000, 5.0105]], "species": ["Bi", "Sc", "Bi", "C", "As"], "fractional_positions": [[0.0000, 0.0000, 0.5000], [0.5000, 0.0000, 0.0000], [0.0000, 0.5000, 0.0000], [0.0000, 0.0000, 0.0000], [0.5000, 0.5000, 0.5000]], "spacegroup": "P4/mmm", "delta_e_f_ev_per_fu": 1.80}

***

Entry 20:
{"formula": "Co2H2Ru", "functional": "PBEsol", "state": "relaxed", "lattice_angstrom": [[-2.4621, -0.1839, 0.8819], [1.3259, -4.6468, 2.7326], [1.3714, 3.0123, 4.4569]], "species": ["Ru", "Co", "Co", "H", "H", "Ru", "H", "Co", "Co", "H"], "fractional_positions": [[0.0000, 0.0000, 0.0000], [0.5000, 0.3575, 0.1425], [0.5000, 0.1425, 0.6425], [0.0000, 0.2130, 0.2870], [0.0000, 0.7130, 0.2130], [0.0000, 0.5000, 0.5000], [0.0000, 0.2870, 0.7870], [0.5000, 0.6425, 0.8575], [0.5000, 0.8575, 0.3575], [0.0000, 0.7870, 0.7130]], "spacegroup": "P4/mbm", "final_energy_ev_per_atom": -6.149}